(1)
{"formula": "Th4Cd3Hg", "functional": "PBE-GGA", "state": "optimized geometry", "formation_enthalpy_0k_ev_per_atom": -0.107, "energy_ev_per_atom": -4.198, "dos_ef_per_ev_cell": 15.6, "cell": [[11.2020, 0.0000, 0.0000], [0.0000, 6.7544, 0.0000], [0.0000, 0.0000, 5.8633]], "species": ["Th", "Th", "Th", "Th", "Th", "Th", "Th", "Th", "Cd", "Cd", "Cd", "Cd", "Cd", "Cd", "Hg", "Hg"], "fractional_positions": [[0.0000, 0.2497, 0.0000], [0.0000, 0.7503, 0.0000], [0.2500, 0.2504, 0.3649], [0.2500, 0.7496, 0.3649], [0.5000, 0.2497, 0.0000], [0.5000, 0.7503, 0.0000], [0.7500, 0.2504, 0.6351], [0.7500, 0.7496, 0.6351], [0.0000, 0.0000, 0.5000], [0.2500, 0.0000, 0.8569], [0.2500, 0.5000, 0.8610], [0.5000, 0.0000, 0.5000], [0.7500, 0.0000, 0.1431], [0.7500, 0.5000, 0.1390], [0.0000, 0.5000, 0.5000], [0.5000, 0.5000, 0.5000]]}

=====

(2)
{"formula": "LaRh", "functional": "PBE-GGA", "state": "optimized geometry", "formation_enthalpy_0k_ev_per_atom": -0.645, "energy_ev_per_atom": -6.784, "dos_ef_per_ev_cell": 3.0, "cell": [[5.4525, -1.9556, 0.0000], [5.4525, 1.9556, 0.0000], [-2.7233, 0.0000, 6.9179]], "species": ["La", "La", "La", "Rh", "Rh", "Rh"], "fractional_positions": [[0.0000, 0.0000, 0.0000], [0.6491, 0.6491, 0.6955], [0.8131, 0.8131, 0.3403], [0.2711, 0.2711, 0.0026], [0.3741, 0.3741, 0.6770], [0.5239, 0.5239, 0.3108]]}

=====

(3)
{"formula": "Sc2PbSe4", "functional": "PBE-GGA", "state": "optimized geometry", "energy_ev_per_atom": -5.696, "raw_formation_energy_ev_per_atom": -1.366, "cell": [[12.3962, 0.0000, 0.0000], [0.0000, 3.9366, 0.0000], [0.0000, 0.0000, 14.3490]], "species": ["Sc", "Sc", "Sc", "Sc", "Sc", "Sc", "Sc", "Sc", "Pb", "Pb", "Pb", "Pb", "Se", "Se", "Se", "Se", "Se", "Se", "Se", "Se", "Se", "Se", "Se", "Se", "Se", "Se", "Se", "Se"], "fractional_positions": [[0.0534, 0.2500, 0.1123], [0.0838, 0.2500, 0.5917], [0.4162, 0.7500, 0.0917], [0.4466, 0.7500, 0.6123], [0.5534, 0.2500, 0.3877], [0.5838, 0.2500, 0.9083], [0.9162, 0.7500, 0.4083], [0.9466, 0.7500, 0.8877], [0.2470, 0.2500, 0.3213], [0.2530, 0.7500, 0.8213], [0.7470, 0.2500, 0.1787], [0.7530, 0.7500, 0.6787], [0.0368, 0.7500, 0.7150], [0.0908, 0.2500, 0.9281], [0.1228, 0.7500, 0.4664], [0.2019, 0.7500, 0.1559], [0.2981, 0.2500, 0.6559], [0.3772, 0.2500, 0.9664], [0.4092, 0.7500, 0.4281], [0.4632, 0.2500, 0.2150], [0.5368, 0.7500, 0.7850], [0.5908, 0.2500, 0.5719], [0.6228, 0.7500, 0.0336], [0.7019, 0.7500, 0.3441], [0.7981, 0.2500, 0.8441], [0.8772, 0.2500, 0.5336], [0.9092, 0.7500, 0.0719], [0.9632, 0.2500, 0.2850]]}

=====

(4)
{"formula": "YZrO2F", "functional": "PBE-GGA", "state": "optimized geometry", "energy_ev_per_atom": -7.789, "dos_ef_per_ev_cell": 3.8, "raw_formation_energy_ev_per_atom": -2.429, "cell": [[4.2153, 0.0000, 0.0000], [0.0000, 4.2153, 0.0000], [0.0000, 0.0000, 4.2759]], "species": ["Y", "Zr", "O", "O", "F"], "fractional_positions": [[0.0000, 0.0000, 0.0000], [0.5000, 0.5000, 0.5000], [0.0000, 0.5000, 0.5000], [0.5000, 0.0000, 0.5000], [0.5000, 0.5000, 0.0000]]}

=====

(5)
{"formula": "CePu3Tl4S8", "functional": "PBE-GGA", "state": "optimized geometry", "energy_ev_per_atom": -6.986, "dos_ef_per_ev_cell": 31.1, "raw_formation_energy_ev_per_atom": -1.272, "cell": [[4.1102, 2.3730, 7.4569], [-4.1102, 2.3730, 7.4569], [0.0000, -4.7461, 7.4569]], "species": ["Ce", "Pu", "Pu", "Pu", "Tl", "Tl", "Tl", "Tl", "S", "S", "S", "S", "S", "S", "S", "S"], "fractional_positions": [[0.0000, 0.0000, 0.0000], [0.0000, 0.5000, 0.5000], [0.5000, 0.0000, 0.5000], [0.5000, 0.5000, 0.0000], [0.0000, 0.0000, 0.5000], [0.0000, 0.5000, 0.0000], [0.5000, 0.0000, 0.0000], [0.5000, 0.5000, 0.5000], [0.2333, 0.2333, 0.7301], [0.2333, 0.7301, 0.2333], [0.2692, 0.2692, 0.2692], [0.2699, 0.7667, 0.7667], [0.7301, 0.2333, 0.2333], [0.7308, 0.7308, 0.7308], [0.7667, 0.2699, 0.7667], [0.7667, 0.7667, 0.2699]]}

=====

(6)
{"formula": "Mn2CdMoN", "functional": "PBE-GGA", "state": "optimized geometry", "energy_ev_per_atom": -7.712, "dos_ef_per_ev_cell": 2.9, "raw_formation_energy_ev_per_atom": -0.029, "cell": [[4.0689, 0.0000, 0.0000], [0.0000, 4.0689, 0.0000], [0.0000, 0.0000, 4.1437]], "species": ["Mn", "Mn", "Cd", "Mo", "N"], "fractional_positions": [[0.0000, 0.5000, 0.0000], [0.5000, 0.0000, 0.0000], [0.0000, 0.0000, 0.5000], [0.5000, 0.5000, 0.5000], [0.5000, 0.5000, 0.0000]]}